Crystalline Mg4Sc2HgAu at its relaxed geometry. Source: OQMD, functional PBE.

Unit cell a=4.8523 b=4.8523 c=6.8306 alpha=90.00 beta=90.00 gamma=90.00
With the nearest neighbours (Å) after each atom.
Element x y z (fractional)
Mg: 0.0000 0.0000 0.0000  4 Sc 2.93, 4 Mg 2.94
Mg: 0.0000 0.5000 0.2434  4 Mg 2.94-2.99, 2 Au 2.94, 2 Hg 2.99
Mg: 0.5000 0.0000 0.7566  4 Mg 2.94-2.99, 2 Au 2.94, 2 Hg 2.99
Mg: 0.5000 0.5000 0.5000  4 Mg 2.99, 4 Sc 3.00
Sc: 0.0000 0.5000 0.7582  4 Mg 2.93-3.00, 2 Au 2.93, 2 Hg 3.00
Sc: 0.5000 0.0000 0.2418  4 Mg 2.93-3.00, 2 Au 2.93, 2 Hg 3.00
Hg: 0.0000 0.0000 0.5000  4 Mg 2.99, 4 Sc 3.00
Au: 0.5000 0.5000 0.0000  4 Sc 2.93, 4 Mg 2.94

Summary:
The value obtained for the total energy is -3.137 eV per atom.